*w*
The following is a GGA-PBE calculation of crystalline ReMo6W at its relaxed geometry, from the Alexandria database.

Calculated values
Volume in A^3/atom: 15.78
Crystal system: orthorhombic
Magnetic moment in μB/atom: 0.0000
N(E_F) in states/eV per cell: 7.245

```
ReMo6W
1.0
-1.260 2.785 3.267
-4.526 1.249 -2.809
-0.995 -4.278 3.263
Re Mo W
1 6 1
direct
0.000 0.128 0.872
0.000 0.123 0.376
0.000 0.624 0.877
0.000 0.626 0.374
0.500 0.374 0.127
0.500 0.873 0.626
0.500 0.878 0.122
0.500 0.375 0.625
```

***

*x*
The following is a GGA-PBE calculation of crystalline ReMo6W at its relaxed geometry, from the Alexandria database.

Calculated values
Volume in A^3/atom: 16.00
Crystal system: trigonal
Magnetic moment in μB/atom: 0.0000
N(E_F) in states/eV per cell: 5.709

```
ReMo6W
1.0
7.119 0.001 0.043
3.550 6.170 -0.005
3.536 2.069 2.926
Re Mo W
1 6 1
direct
0.500 0.500 0.500
0.001 0.500 0.750
0.749 0.001 0.751
0.500 0.251 0.250
0.251 0.999 0.249
0.999 0.500 0.250
0.500 0.749 0.750
0.000 0.000 0.000
```

***

Decreasing stability: *w*, *x*

***

*w*
The following is a GGA-PBE calculation of crystalline ReMo2W2 at its relaxed geometry, from the Alexandria database.

Calculated values
Volume in A^3/atom: 15.80
Crystal system: orthorhombic
Magnetic moment in μB/atom: 0.0000
N(E_F) in states/eV per cell: 7.255

```
ReMo2W2
1.0
-2.150 1.752 1.526
-2.990 -0.870 -3.213
-2.317 -9.907 4.840
Re Mo W
2 4 4
direct
0.850 0.750 0.700
0.150 0.250 0.300
0.051 0.750 0.101
0.949 0.250 0.899
0.249 0.750 0.498
0.751 0.250 0.502
0.650 0.750 0.301
0.350 0.250 0.699
0.450 0.750 0.900
0.550 0.250 0.100
```

***

*x*
The following is a GGA-PBE calculation of crystalline ReMo2W2 at its relaxed geometry, from the Alexandria database.

Calculated values
Volume in A^3/atom: 17.79
Crystal system: orthorhombic
Magnetic moment in μB/atom: 0.0000
N(E_F) in states/eV per cell: 8.822

```
ReMo2W2
1.0
-2.900 3.513 -1.436
-1.223 -3.536 -6.171
-1.944 -2.405 5.982
Re Mo W
2 4 4
direct
0.244 0.744 0.988
0.756 0.256 0.012
0.500 0.172 0.500
0.133 0.133 0.766
0.500 0.828 0.500
0.867 0.867 0.234
0.627 0.627 0.755
0.000 0.680 0.500
0.000 0.320 0.500
0.373 0.373 0.245
```

***

Decreasing stability: *w*, *x*

***

*w*
The following is a GGA-PBE calculation of crystalline ReMoW3 at its relaxed geometry, from the Alexandria database.

Calculated values
Volume in A^3/atom: 20.74
Crystal system: cubic
Magnetic moment in μB/atom: 0.0001
N(E_F) in states/eV per cell: 5.750

```
ReMoW3
1.0
-2.223 -0.022 -4.139
-3.918 -1.504 2.112
-1.335 4.451 0.693
Re Mo W
1 1 3
direct
0.000 0.000 0.000
0.500 0.500 0.500
0.000 0.500 0.000
0.000 0.000 0.500
0.500 0.000 0.000
```

***

*x*
The following is a GGA-PBE calculation of crystalline ReMoW3 at its relaxed geometry, from the Alexandria database.

Calculated values
Volume in A^3/atom: 16.42
Crystal system: monoclinic
Magnetic moment in μB/atom: 0.0000
N(E_F) in states/eV per cell: 9.400

```
ReMoW3
1.0
2.966 0.000 0.000
0.000 6.567 1.786
-1.483 1.371 8.801
Re Mo W
2 2 6
direct
0.731 0.171 0.462
0.269 0.829 0.538
0.574 0.378 0.149
0.426 0.622 0.851
0.986 0.208 0.971
0.014 0.792 0.029
0.370 0.084 0.739
0.630 0.916 0.261
0.179 0.540 0.358
0.821 0.460 0.642
```

***

*y*
The following is a GGA-PBE calculation of crystalline ReMoW3 at its relaxed geometry, from the Alexandria database.

Calculated values
Volume in A^3/atom: 15.88
Crystal system: triclinic
Magnetic moment in μB/atom: 0.0000
N(E_F) in states/eV per cell: 6.316

```
ReMoW3
1.0
4.379 -0.001 -0.883
0.150 5.446 0.727
-0.868 0.941 6.966
Re Mo W
2 2 6
direct
0.398 0.157 0.299
0.602 0.843 0.701
0.599 0.353 0.700
0.401 0.647 0.300
0.800 0.551 0.101
0.200 0.449 0.899
0.801 0.048 0.100
0.199 0.952 0.900
0.001 0.246 0.501
0.999 0.754 0.499
```

***

Decreasing stability: *y*, *x*, *w*

***

*w*
The following is a GGA-PBE calculation of crystalline ReMoW6 at its relaxed geometry, from the Alexandria database.

Calculated values
Volume in A^3/atom: 15.97
Crystal system: orthorhombic
Magnetic moment in μB/atom: 0.0000
N(E_F) in states/eV per cell: 5.682

```
ReMoW6
1.0
-2.907 3.034 -1.592
-4.078 -3.652 0.487
0.467 2.888 4.652
Re Mo W
1 1 6
direct
0.500 0.500 0.500
0.500 0.000 0.000
0.500 0.000 0.500
0.500 0.500 0.000
0.000 0.249 0.249
0.000 0.751 0.751
0.000 0.749 0.251
0.000 0.251 0.749
```

***

*x*
The following is a GGA-PBE calculation of crystalline ReMoW6 at its relaxed geometry, from the Alexandria database.

Calculated values
Volume in A^3/atom: 16.18
Crystal system: trigonal
Magnetic moment in μB/atom: 0.0000
N(E_F) in states/eV per cell: 4.233

```
ReMoW6
1.0
7.146 0.002 0.047
3.565 6.193 0.010
3.548 2.072 2.944
Re Mo W
1 1 6
direct
0.500 0.500 0.500
0.000 0.000 0.000
0.000 0.500 0.750
0.750 0.000 0.750
0.500 0.250 0.250
0.250 0.000 0.250
0.000 0.500 0.250
0.500 0.750 0.750
```

***

Decreasing stability: *w*, *x*